(1)
## CuRu2Pt (PBE)

Data for a geometry-optimized CuRu2Pt structure.

Cell: 8.9184 2.7053 4.7159 Å, 90.00 99.64 90.00°
Fractional positions:
Cu  0.0000  0.0000  0.0000
Cu  0.5000  0.5000  0.0000
Ru  0.2522  0.5000  0.2744
Ru  0.4976  0.0000  0.4814
Ru  0.7522  0.0000  0.2744
Ru  0.9976  0.5000  0.4814
Pt  0.2494  0.0000  0.7762
Pt  0.7494  0.5000  0.7762

For the polymorph energy (0 for the lowest one), the calculation gives 58.1 meV per atom. The value obtained for the formation energy is 0.090 eV/atom. As for the calculated density: 13.64 g cm⁻³.

(2)
## Cu2RuPt (PBE)

Data for a geometry-optimized Cu2RuPt structure.

Cell: 4.3649 4.3649 2.8393 Å, 90.00 90.00 90.00°
Fractional positions:
Cu  0.0000  0.5000  0.0000
Cu  0.5000  0.0000  0.0000
Ru  0.0000  0.0000  0.5000
Pt  0.5000  0.5000  0.5000

For the polymorph energy (0 for the lowest one), the calculation gives 158.2 meV per atom. The value obtained for the formation energy is 0.207 eV/atom. As for the calculated density: 12.99 g cm⁻³.

(3)
## Cu2RuPt (PBE)

Data for a geometry-optimized Cu2RuPt structure.

Cell: 2.6841 4.6356 8.9521 Å, 90.00 90.00 90.00°
Fractional positions:
Cu  0.0000  0.0000  0.2487
Cu  0.0000  0.0000  0.7513
Cu  0.5000  0.5000  0.2513
Cu  0.5000  0.5000  0.7487
Ru  0.0000  0.5000  0.5000
Ru  0.5000  0.0000  0.0000
Pt  0.0000  0.5000  0.0000
Pt  0.5000  0.0000  0.5000

For the polymorph energy (0 for the lowest one), the calculation gives 116.9 meV per atom. The value obtained for the formation energy is 0.166 eV/atom. As for the calculated density: 12.62 g cm⁻³.

(4)
## Cu4RuPt (PBE)

Data for a geometry-optimized Cu4RuPt structure.

Cell: 4.7826 4.7826 4.7826 Å, 60.00 60.00 60.00°
Fractional positions:
Cu  0.1251  0.1251  0.1251
Cu  0.1251  0.1251  0.6246
Cu  0.1251  0.6246  0.1251
Cu  0.6246  0.1251  0.1251
Ru  0.5000  0.5000  0.5000
Pt  0.7500  0.7500  0.7500

The value obtained for the formation energy is 0.153 eV/atom. As for the calculated density: 11.81 g cm⁻³.

(5)
## CuRu2Pt (PBE)

Data for a geometry-optimized CuRu2Pt structure.

Cell: 9.0050 2.7091 4.6579 Å, 90.00 99.74 90.00°
Fractional positions:
Cu  0.0000  0.0000  0.0000
Cu  0.5000  0.5000  0.0000
Ru  0.2483  0.0000  0.7566
Ru  0.2517  0.5000  0.2434
Ru  0.7483  0.5000  0.7566
Ru  0.7517  0.0000  0.2434
Pt  0.0000  0.5000  0.5000
Pt  0.5000  0.0000  0.5000

For the polymorph energy (0 for the lowest one), the calculation gives 108.9 meV per atom. The value obtained for the formation energy is 0.141 eV/atom. As for the calculated density: 13.66 g cm⁻³.

(6)
## Cu2RuPt (PBE)

Data for a geometry-optimized Cu2RuPt structure.

Cell: 2.6994 2.6994 7.4873 Å, 90.00 90.00 90.00°
Fractional positions:
Cu  0.0000  0.0000  0.2483
Cu  0.0000  0.0000  0.7517
Ru  0.5000  0.5000  0.0000
Pt  0.5000  0.5000  0.5000

For the polymorph energy (0 for the lowest one), the calculation gives 95.9 meV per atom. The value obtained for the formation energy is 0.145 eV/atom. As for the calculated density: 12.88 g cm⁻³.